Cs2Tm2TeO6 | Alexandria | PBE | relaxed; crystal system = monoclinic; raw total energy = -6.23 eV/atom
1.0
2.981 -5.152 0.000
2.981 5.152 0.000
-1.940 0.000 7.015
Cs Tm Te O
2 2 1 6
Direct
0.167 0.833 0.000
0.833 0.167 0.000
0.334 0.666 0.500
0.666 0.334 0.500
0.000 0.000 0.500
0.048 0.381 0.656
0.276 0.276 0.344
0.381 0.048 0.656
0.619 0.952 0.344
0.724 0.724 0.656
0.952 0.619 0.344

Cs2U3Te2O14 | Alexandria | PBE | relaxed; crystal system = triclinic; raw total energy = -7.70 eV/atom
1.0
7.043 0.000 0.000
-1.127 7.781 0.000
-1.539 -3.606 7.860
Cs U Te O
2 3 2 14
Direct
0.200 0.372 0.325
0.800 0.628 0.675
0.101 0.176 0.732
0.500 0.000 0.500
0.899 0.824 0.268
0.345 0.668 0.025
0.655 0.332 0.975
0.109 0.383 0.676
0.118 0.991 0.809
0.135 0.737 0.125
0.179 0.001 0.476
0.307 0.416 0.009
0.466 0.212 0.759
0.468 0.803 0.566
0.532 0.197 0.434
0.534 0.788 0.241
0.693 0.584 0.991
0.821 0.999 0.524
0.865 0.263 0.875
0.882 0.009 0.191
0.891 0.617 0.324

> Among the records above, which one has the highest raw total energy?

Cs2Tm2TeO6

> Look up the raw total energy of the first one.

-6.23 eV/atom

> The highest raw total energy belongs to which entry?

Cs2Tm2TeO6

> What is the raw total energy in the first record?

-6.23 eV/atom